(1)
Entry from Alexandria: RbScCuSe2 after structural relaxation (PBE-GGA).

```
RbScCuSe2
1.0
-0.772 -2.979 -3.487
5.466 -4.978 3.043
-6.157 -2.682 3.654
Sc Se Rb Cu
2 4 2 2
direct
0.504 0.000 0.750 Sc
0.496 0.000 0.250 Sc
0.341 0.780 0.466 Se
0.659 0.220 0.534 Se
0.659 0.780 0.966 Se
0.341 0.220 0.034 Se
0.842 0.500 0.250 Rb
0.158 0.500 0.750 Rb
0.000 0.000 0.000 Cu
0.000 0.000 0.500 Cu
```

Calculated values
**Crystal system**: monoclinic
**ΔE_f (raw)**: -0.963 eV per atom

(2)
Entry from Alexandria: SbPSCl2 after structural relaxation (PBE-GGA).

```
SbPSCl2
1.0
-0.279 -1.921 4.231
-0.141 -4.233 -1.932
5.062 -0.265 0.213
Cl P Sb S
2 1 1 1
direct
0.000 0.500 0.000 Cl
0.500 0.000 0.000 Cl
0.000 0.000 0.500 P
0.500 0.500 0.500 Sb
0.000 0.000 0.000 S
```

Calculated values
**Crystal system**: tetragonal
**ΔE_f (raw)**: 0.529 eV per atom
**Excess energy over the best structure of this formula in the dataset**: 0.2906 eV per atom

(3)
Entry from Alexandria: LaBeCu after structural relaxation (PBE-GGA).

```
LaBeCu
1.0
6.710 0.000 0.000
0.000 6.710 0.000
0.000 0.000 6.710
Be Cu La
4 4 4
direct
0.500 0.500 0.000 Be
0.500 0.000 0.500 Be
0.000 0.000 0.000 Be
0.000 0.500 0.500 Be
0.500 0.000 0.000 Cu
0.000 0.000 0.500 Cu
0.500 0.500 0.500 Cu
0.000 0.500 0.000 Cu
0.750 0.250 0.750 La
0.250 0.250 0.250 La
0.750 0.750 0.250 La
0.250 0.750 0.750 La
```

Calculated values
**Crystal system**: cubic
**Excess energy over the best structure of this formula in the dataset**: 0.7648 eV per atom

(4)
Entry from Alexandria: LiNi5Mo after structural relaxation (PBE-GGA).

```
LiNi5Mo
1.0
-4.004 -1.350 1.257
2.793 1.215 4.813
-3.482 6.153 5.707
Ni Mo Li
10 2 2
direct
0.510 0.291 0.642 Ni
0.490 0.709 0.358 Ni
0.003 0.144 0.574 Ni
0.499 0.858 0.931 Ni
0.013 0.427 0.714 Ni
0.987 0.573 0.286 Ni
0.987 0.289 0.142 Ni
0.501 0.142 0.069 Ni
0.013 0.711 0.858 Ni
0.997 0.856 0.426 Ni
0.500 0.000 0.500 Mo
0.000 0.000 0.000 Mo
0.539 0.583 0.788 Li
0.461 0.417 0.212 Li
```

Calculated values
**Crystal system**: triclinic
**VASP energy**: -5.93 eV per atom

(5)
Entry from Alexandria: Pr5Er4Hg after structural relaxation (PBE-GGA).

```
Pr5Er4Hg
1.0
-3.411 1.473 -1.697
1.566 -0.656 -3.715
-7.700 -17.921 -0.080
Hg Pr Er
1 5 4
direct
0.000 0.000 0.000 Hg
0.500 0.500 0.500 Pr
0.500 0.500 0.091 Pr
0.500 0.500 0.298 Pr
0.500 0.500 0.702 Pr
0.500 0.500 0.909 Pr
0.000 0.000 0.802 Er
0.000 0.000 0.399 Er
0.000 0.000 0.198 Er
0.000 0.000 0.601 Er
```

Calculated values
**Crystal system**: tetragonal
**VASP energy**: -4.25 eV per atom

(6)
Entry from Alexandria: TbPm6Ho12 after structural relaxation (PBE-GGA).

```
TbPm6Ho12
1.0
-4.596 4.386 5.954
3.887 -5.718 5.293
6.598 5.602 -0.954
Ho Pm Tb
12 6 1
direct
0.500 0.757 0.243 Ho
0.355 0.082 0.355 Ho
0.082 0.355 0.355 Ho
0.243 0.757 0.500 Ho
0.645 0.645 0.918 Ho
0.918 0.645 0.645 Ho
0.757 0.243 0.500 Ho
0.645 0.918 0.645 Ho
0.500 0.243 0.757 Ho
0.757 0.500 0.243 Ho
0.243 0.500 0.757 Ho
0.355 0.355 0.082 Ho
0.902 0.902 0.344 Pm
0.098 0.656 0.098 Pm
0.098 0.098 0.656 Pm
0.344 0.902 0.902 Pm
0.656 0.098 0.098 Pm
0.902 0.344 0.902 Pm
0.000 0.000 0.000 Tb
```

Calculated values
**Crystal system**: trigonal
**Excess energy over the best structure of this formula in the dataset**: 0.0932 eV per atom

Copy entry 6 word for word.
Entry from Alexandria: TbPm6Ho12 after structural relaxation (PBE-GGA).

```
TbPm6Ho12
1.0
-4.596 4.386 5.954
3.887 -5.718 5.293
6.598 5.602 -0.954
Ho Pm Tb
12 6 1
direct
0.500 0.757 0.243 Ho
0.355 0.082 0.355 Ho
0.082 0.355 0.355 Ho
0.243 0.757 0.500 Ho
0.645 0.645 0.918 Ho
0.918 0.645 0.645 Ho
0.757 0.243 0.500 Ho
0.645 0.918 0.645 Ho
0.500 0.243 0.757 Ho
0.757 0.500 0.243 Ho
0.243 0.500 0.757 Ho
0.355 0.355 0.082 Ho
0.902 0.902 0.344 Pm
0.098 0.656 0.098 Pm
0.098 0.098 0.656 Pm
0.344 0.902 0.902 Pm
0.656 0.098 0.098 Pm
0.902 0.344 0.902 Pm
0.000 0.000 0.000 Tb
```

Calculated values
**Crystal system**: trigonal
**Excess energy over the best structure of this formula in the dataset**: 0.0932 eV per atom